{"formula": "RbSiSe2", "functional": "PBE-GGA", "state": "optimized geometry", "cell": [[-3.715, 3.715, 5.091], [3.715, -3.715, 5.091], [3.715, 3.715, -5.091]], "species": ["Rb", "Rb", "Si", "Si", "Se", "Se", "Se", "Se"], "fractional_positions": [[0.000, 0.000, 0.000], [0.750, 0.250, 0.500], [0.250, 0.750, 0.500], [0.500, 0.500, 0.000], [0.248, 0.625, 0.123], [0.375, 0.498, 0.623], [0.502, 0.125, 0.877], [0.875, 0.752, 0.377]], "raw_formation_energy_mev_per_atom": -566, "crystal_system": "tetragonal", "dos_at_fermi_per_ev_cell": 0.59, "spacegroup": "I-42d", "volume_a3_per_atom": 35.14}